No. 1
# GGA-PBE CoSbS, relaxed
# D(E_F) = 0.88 states/eV/atom
# Final energy = -5.12 eV per atom
data_CoSbS
_chemical_formula_sum 'Co2 Sb2 S2'
_space_group_name_H-M_alt 'P 1 c 1'
_space_group_IT_number 7
_space_group_name_Hall 'P -2yc'
_cell_length_a 4.690
_cell_length_b 5.349
_cell_length_c 6.369
_cell_angle_alpha 90.00
_cell_angle_beta 132.55
_cell_angle_gamma 90.00
loop_
_atom_site_label
_atom_site_type_symbol
_atom_site_fract_x
_atom_site_fract_y
_atom_site_fract_z
_atom_site_occupancy
Co1 Co 0.000 0.237 0.000 1
Sb1 Sb 0.498 0.499 0.954 1
S1 S 0.999 0.084 0.688 1

---

No. 2
# GGA-PBE CoSbS, relaxed
# D(E_F) = 0.14 states/eV/atom
# Final energy = -5.47 eV per atom
data_CoSbS
_chemical_formula_sum 'Co2 Sb2 S2'
_space_group_name_H-M_alt 'P m n 21'
_space_group_IT_number 31
_space_group_name_Hall 'P 2ac -2'
_cell_length_a 3.639
_cell_length_b 4.858
_cell_length_c 5.837
_cell_angle_alpha 90.00
_cell_angle_beta 90.00
_cell_angle_gamma 90.00
loop_
_atom_site_label
_atom_site_type_symbol
_atom_site_fract_x
_atom_site_fract_y
_atom_site_fract_z
_atom_site_occupancy
Co1 Co 0.000 0.216 0.000 1
Sb1 Sb 0.000 0.465 0.373 1
S1 S 0.000 0.041 0.638 1

---

No. 3
# GGA-PBE Co3SbS, relaxed
# D(E_F) = 1.62 states/eV/atom
# Final energy = -5.69 eV per atom
# ΔE to the lowest computed polymorph = 0.0 meV/atom
data_Co3SbS
_chemical_formula_sum 'Co3 Sb1 S1'
_space_group_name_H-M_alt 'P m -3 m'
_space_group_IT_number 221
_space_group_name_Hall '-P 4 2 3'
_cell_length_a 4.200
_cell_length_b 4.200
_cell_length_c 4.200
_cell_angle_alpha 90.00
_cell_angle_beta 90.00
_cell_angle_gamma 90.00
loop_
_atom_site_label
_atom_site_type_symbol
_atom_site_fract_x
_atom_site_fract_y
_atom_site_fract_z
_atom_site_occupancy
Co1 Co 0.000 0.000 0.500 1
Sb1 Sb 0.500 0.500 0.500 1
S1 S 0.000 0.000 0.000 1